# PPbF6 PBE optimized geometry
data_PPbF6
_chemical_formula_sum 'P4 Pb4 F24'
_cell_length_a 9.196
_cell_length_b 6.859
_cell_length_c 9.119
_cell_angle_alpha 90.00
_cell_angle_beta 111.99
_cell_angle_gamma 90.00
_space_group_name_H-M_alt 'C 1 2 1'
_space_group_IT_number 5
_space_group_name_Hall 'C 2y'
loop_
_atom_site_label
_atom_site_type_symbol
_atom_site_fract_x
_atom_site_fract_y
_atom_site_fract_z
P1 P 0.202 0.000 0.326
Pb1 Pb 0.094 0.463 0.876
F1 F 0.071 0.046 0.152
F2 F 0.088 0.033 0.415
F3 F 0.146 0.447 0.521
F4 F 0.168 0.768 0.291
F5 F 0.225 0.735 0.994
F6 F 0.236 0.723 0.666
# Calculated volume = 16.7 A^3/atom
# ρ = 4386 kg/m³
# Formation energy without anion corrections = -217.63 kJ per mole of atoms
# Total energy = -4.799 eV/atom